Here is a relaxed structure of RbNaCa from Alexandria via LeMat-Bulk. Energies are from PBE.

Cell and atoms, written as CIF:
```
data_RbNaCa
_chemical_formula_sum 'Rb1 Na1 Ca1'
_cell_length_a 4.1657
_cell_length_b 4.1657
_cell_length_c 10.3942
_cell_angle_alpha 90.00
_cell_angle_beta 90.00
_cell_angle_gamma 120.00
_space_group_name_H-M_alt 'P 3 m 1'
_space_group_IT_number 156
_space_group_name_Hall 'P 3 -2"'
loop_
_atom_site_label
_atom_site_fract_x
_atom_site_fract_y
_atom_site_fract_z
Rb1 0.0000 0.0000 0.0000
Na1 0.3333 0.6667 0.6478
Ca1 0.6667 0.3333 0.3623
```

Results
- Distance to the lowest polymorph of the same formula: 13 meV/atom
- DOS at the Fermi energy: 3.2 states/eV/f.u.
- Raw total energy: -1.28 eV per atom
- ΔH_f (0 K): 0.152 eV per atom